(1)
An optimized crystal structure of AlCu5. Source: Alexandria, functional GGA-PBE.

Cell: 4.5172 4.5172 5.1489 Å, 107.63 107.63 48.23°
Last column: nearest neighbours and their distance in Å.
Fractional coordinates of all 6 atoms:
Al  0.0000  0.0000  0.0000  12 Cu 2.57-2.62
Cu  0.0000  0.0000  0.5000  2 Al 2.57, 10 Cu 2.58-2.60
Cu  0.3331  0.3331  0.1683  9 Cu 2.55-2.61, 3 Al 2.59-2.62
Cu  0.3343  0.3343  0.6651  10 Cu 2.55-2.61, 2 Al 2.58
Cu  0.6657  0.6657  0.3349  10 Cu 2.55-2.61, 2 Al 2.58
Cu  0.6669  0.6669  0.8317  9 Cu 2.55-2.61, 3 Al 2.59-2.62

- E (eV for the cell shown) = -24.968
- magnetic moment (Bohr magnetons per cell) = 0.00
- crystal system = monoclinic
- density (kg/m³) = 7744
- energy of formation from the pure elements (eV/f.u.) = -0.7



(2)
An optimized crystal structure of Al4Cu15. Source: Alexandria, functional GGA-PBE.

Cell: 3.6643 3.6643 18.0532 Å, 90.00 90.00 90.00°
Last column: nearest neighbours and their distance in Å.
Fractional coordinates of all 19 atoms:
Al  0.0000  0.0000  0.1035  12 Cu 2.59-2.62
Al  0.0000  0.0000  0.3090  12 Cu 2.58-2.61
Al  0.0000  0.0000  0.6910  12 Cu 2.58-2.61
Al  0.0000  0.0000  0.8965  12 Cu 2.59-2.62
Cu  0.0000  0.5000  0.0000  8 Cu 2.59-2.62, 4 Al 2.62
Cu  0.0000  0.5000  0.2061  8 Cu 2.59-2.60, 4 Al 2.60-2.61
Cu  0.0000  0.5000  0.4098  8 Cu 2.45-2.59, 2 Al 2.58
Cu  0.0000  0.5000  0.5902  8 Cu 2.45-2.59, 2 Al 2.58
Cu  0.0000  0.5000  0.7939  8 Cu 2.59-2.60, 4 Al 2.60-2.61
Cu  0.5000  0.0000  0.0000  8 Cu 2.59-2.62, 4 Al 2.62
Cu  0.5000  0.0000  0.2061  8 Cu 2.59-2.60, 4 Al 2.60-2.61
Cu  0.5000  0.0000  0.4098  8 Cu 2.45-2.59, 2 Al 2.58
Cu  0.5000  0.0000  0.5902  8 Cu 2.45-2.59, 2 Al 2.58
Cu  0.5000  0.0000  0.7939  8 Cu 2.59-2.60, 4 Al 2.60-2.61
Cu  0.5000  0.5000  0.1035  4 Al 2.59, 8 Cu 2.60-2.62
Cu  0.5000  0.5000  0.3083  8 Cu 2.59-2.60, 4 Al 2.59
Cu  0.5000  0.5000  0.5000  8 Cu 2.45
Cu  0.5000  0.5000  0.6917  8 Cu 2.59-2.60, 4 Al 2.59
Cu  0.5000  0.5000  0.8965  4 Al 2.59, 8 Cu 2.60-2.62

- E (eV for the cell shown) = -78.498
- magnetic moment (Bohr magnetons per cell) = 0.00
- crystal system = tetragonal
- density (kg/m³) = 7269
- energy of formation from the pure elements (eV/f.u.) = -2.1



(3)
An optimized crystal structure of AlCu6. Source: Alexandria, functional GGA-PBE.

Cell: 5.5889 5.5889 5.5889 Å, 109.47 109.47 109.47°
Last column: nearest neighbours and their distance in Å.
Fractional coordinates of all 7 atoms:
Al  0.0000  0.0000  0.0000  24 Cu 3.61
Cu  0.2500  0.5000  0.7500  4 Cu 2.28
Cu  0.2500  0.7500  0.5000  4 Cu 2.28
Cu  0.5000  0.2500  0.7500  4 Cu 2.28
Cu  0.5000  0.7500  0.2500  4 Cu 2.28
Cu  0.7500  0.2500  0.5000  4 Cu 2.28
Cu  0.7500  0.5000  0.2500  4 Cu 2.28

- E (eV for the cell shown) = -22.131
- magnetic moment (Bohr magnetons per cell) = 0.00
- crystal system = cubic
- energy relative to the lowest polymorph listed for this composition (meV/atom) = 925
- density (kg/m³) = 5045
- energy of formation from the pure elements (eV/f.u.) = 6.2



(4)
An optimized crystal structure of AlCu5. Source: Alexandria, functional GGA-PBE.

Cell: 4.2087 6.7414 6.7414 Å, 22.81 90.00 90.00°
Last column: nearest neighbours and their distance in Å.
Fractional coordinates of all 6 atoms:
Al  0.0000  0.0000  0.0000  10 Cu 2.58-2.62, 2 Al 2.67
Cu  0.0000  0.3321  0.3321  10 Cu 2.56-2.67, 2 Al 2.59
Cu  0.0000  0.6667  0.6667  10 Cu 2.56-2.67, 2 Al 2.58
Cu  0.5000  0.2170  0.2170  12 Cu 2.56-2.67
Cu  0.5000  0.5506  0.5506  8 Cu 2.57-2.67, 4 Al 2.58
Cu  0.5000  0.8824  0.8824  10 Cu 2.56-2.67, 2 Al 2.62

- E (eV for the cell shown) = -24.828
- magnetic moment (Bohr magnetons per cell) = 0.00
- crystal system = orthorhombic
- density (kg/m³) = 7720
- energy of formation from the pure elements (eV/f.u.) = -0.6



(5)
An optimized crystal structure of Al3Cu8. Source: Alexandria, functional GGA-PBE.

Cell: 4.5322 4.5322 9.3500 Å, 102.98 102.98 47.88°
Last column: nearest neighbours and their distance in Å.
Fractional coordinates of all 11 atoms:
Al  0.0000  0.0000  0.0000  12 Cu 2.59-2.61
Al  0.0985  0.0985  0.6429  11 Cu 2.57-2.65, 1 Al 2.77
Al  0.9015  0.9015  0.3571  11 Cu 2.57-2.65, 1 Al 2.77
Cu  0.1790  0.1790  0.2718  4 Al 2.59-2.61, 8 Cu 2.60-2.65
Cu  0.2744  0.2744  0.9107  4 Al 2.57-2.61, 8 Cu 2.58-2.63
Cu  0.3664  0.3664  0.5460  7 Cu 2.56-2.65, 5 Al 2.60-2.65
Cu  0.4540  0.4540  0.1809  4 Al 2.58-2.59, 8 Cu 2.60-2.63
Cu  0.5460  0.5460  0.8191  4 Al 2.58-2.59, 8 Cu 2.60-2.63
Cu  0.6336  0.6336  0.4540  7 Cu 2.56-2.65, 5 Al 2.60-2.65
Cu  0.7256  0.7256  0.0893  4 Al 2.57-2.61, 8 Cu 2.58-2.63
Cu  0.8210  0.8210  0.7282  4 Al 2.59-2.61, 8 Cu 2.60-2.65

- E (eV for the cell shown) = -46.175
- magnetic moment (Bohr magnetons per cell) = 0.00
- crystal system = monoclinic
- energy relative to the lowest polymorph listed for this composition (meV/atom) = 0
- density (kg/m³) = 7087
- energy of formation from the pure elements (eV/f.u.) = -2.2



(6)
An optimized crystal structure of AlCu5. Source: Alexandria, functional GGA-PBE.

Cell: 4.8732 4.8732 6.0758 Å, 105.97 105.97 32.52°
Last column: nearest neighbours and their distance in Å.
Fractional coordinates of all 6 atoms:
Al  0.0000  0.0000  0.0000  10 Cu 2.56-2.65, 2 Al 2.73
Cu  0.2894  0.2894  0.0805  3 Al 2.56-2.61, 9 Cu 2.56-2.73
Cu  0.3346  0.3346  0.6673  10 Cu 2.56-2.73, 2 Al 2.56
Cu  0.6225  0.6225  0.7443  10 Cu 2.55-2.73, 2 Al 2.57
Cu  0.6683  0.6683  0.3361  10 Cu 2.55-2.73, 2 Al 2.58
Cu  0.9574  0.9574  0.4126  11 Cu 2.55-2.73, 1 Al 2.65

- E (eV for the cell shown) = -24.805
- magnetic moment (Bohr magnetons per cell) = 0.00
- crystal system = monoclinic
- density (kg/m³) = 7703
- energy of formation from the pure elements (eV/f.u.) = -0.6